Compound: CaMnPO2
Source: Alexandria via LeMat-Bulk
Functional: PBE+U
Structure: relaxed

a b c (Å): 4.190 4.190 5.807
angles (deg): 90.00 90.00 90.00
Fractional coordinates of all 5 atoms:
1 Ca 0.000 0.000 0.000
2 Mn 0.500 0.500 0.500
3 P 0.000 0.000 0.500
4 O 0.000 0.500 0.000
5 O 0.500 0.000 0.000

Values from the calculation:
The total energy is -5.086 eV/atom. The calculation puts the density of states at the Fermi level at 4.46 states/eV/cell.